Zr2TaTe: relaxed, GGA-PBE.

Results
ΔE_f (raw): -0.0953 eV/atom
calculated total energy: -32.472 eV/f.u.

Geometry as POSCAR:
```
Zr2TaTe
1.0
-2.1664 -0.5351 -8.7483
-4.1121 -3.0675 -7.4292
-5.2397 0.1976 -7.3497
Ta Te Zr
1 1 2
direct
0.2500 0.2500 0.2500
0.7500 0.7500 0.7500
0.9999 0.9999 0.9999
0.5001 0.5001 0.5001
```